PrSmNi | PBE-GGA | optimized geometry

Unit cell a=3.517 b=3.517 c=12.865 alpha=90.00 beta=90.00 gamma=90.00
Space group I4mm (No. 107)
Inequivalent atoms, fractional coordinates:
Pr 0.000 0.000 0.000 [2 per cell]
Sm 0.000 0.000 0.741 [2 per cell]
Ni 0.000 0.000 0.362 [2 per cell]

Calculated values
Its formation energy is -0.132 eV per atom. The value obtained for the energy is -31.35 eV/cell. Its total magnetization is 0.0 μB/f.u. Its energy above the most stable polymorph in this dataset is 75 meV/atom.